5
Lattice="5.420 0.000 0.000 0.000 5.420 0.000 0.000 0.000 5.768" Properties=species:S:1:pos:R:3 comment="GGA-PBE TaHgSb2I, optimized geometry" e_above_lowest_polymorph_mev_per_atom=1220.5 crystal_system=tetragonal dos_ef_per_ev_cell=6.80 formation_energy_uncorrected_ev_per_atom=1.5433 sg="P4/mmm, No. 123" m_tot_mub_per_fu=2.18 pbc="T T T"
Ta 0.000 0.000 0.000
Hg 2.710 2.710 2.884
Sb 0.000 2.710 2.884
Sb 2.710 0.000 2.884
I 2.710 2.710 0.000

5
Lattice="5.705 0.000 0.000 0.000 5.705 0.000 0.000 0.000 5.626" Properties=species:S:1:pos:R:3 comment="GGA-PBE TaHgSbI2, optimized geometry" e_above_lowest_polymorph_mev_per_atom=1188.2 crystal_system=tetragonal dos_ef_per_ev_cell=6.23 formation_energy_uncorrected_ev_per_atom=1.4391 sg="P4/mmm, No. 123" m_tot_mub_per_fu=2.31 pbc="T T T"
Ta 0.000 0.000 0.000
Hg 2.853 2.853 2.813
Sb 2.853 2.853 0.000
I 0.000 2.853 2.813
I 2.853 0.000 2.813

5
Lattice="5.602 0.000 0.000 0.000 5.602 0.000 0.000 0.000 5.450" Properties=species:S:1:pos:R:3 comment="GGA-PBE TaHgSbI2, optimized geometry" e_above_lowest_polymorph_mev_per_atom=0.0 crystal_system=tetragonal dos_ef_per_ev_cell=2.97 formation_energy_uncorrected_ev_per_atom=0.2509 sg="P4/mmm, No. 123" m_tot_mub_per_fu=0.00 pbc="T T T"
Ta 0.000 0.000 0.000
Hg 2.801 2.801 2.725
Sb 0.000 0.000 2.725
I 0.000 2.801 0.000
I 2.801 0.000 0.000

5
Lattice="5.659 0.000 0.000 0.000 5.659 0.000 0.000 0.000 5.141" Properties=species:S:1:pos:R:3 comment="GGA-PBE TcHgSbI2, optimized geometry" e_above_lowest_polymorph_mev_per_atom=0.0 crystal_system=tetragonal dos_ef_per_ev_cell=3.16 formation_energy_uncorrected_ev_per_atom=0.3794 sg="P4/mmm, No. 123" m_tot_mub_per_fu=1.50 pbc="T T T"
Tc 0.000 0.000 0.000
Hg 2.829 2.829 2.570
Sb 0.000 0.000 2.570
I 0.000 2.829 0.000
I 2.829 0.000 0.000

5
Lattice="5.844 0.000 0.000 0.000 5.844 0.000 0.000 0.000 5.719" Properties=species:S:1:pos:R:3 comment="GGA-PBE TcHgSbI2, optimized geometry" e_above_lowest_polymorph_mev_per_atom=870.4 crystal_system=tetragonal dos_ef_per_ev_cell=2.56 formation_energy_uncorrected_ev_per_atom=1.2499 sg="P4/mmm, No. 123" m_tot_mub_per_fu=4.10 pbc="T T T"
Tc 0.000 0.000 0.000
Hg 2.922 2.922 2.859
Sb 2.922 2.922 0.000
I 0.000 2.922 2.859
I 2.922 0.000 2.859

5
Lattice="5.102 0.000 0.000 0.000 5.102 0.000 0.000 0.000 5.952" Properties=species:S:1:pos:R:3 comment="GGA-PBE TcHgSb2I, optimized geometry" e_above_lowest_polymorph_mev_per_atom=0.0 crystal_system=tetragonal dos_ef_per_ev_cell=3.40 formation_energy_uncorrected_ev_per_atom=0.3747 sg="P4/mmm, No. 123" m_tot_mub_per_fu=0.00 pbc="T T T"
Tc 0.000 0.000 0.000
Hg 2.551 2.551 2.976
Sb 0.000 2.551 0.000
Sb 2.551 0.000 0.000
I 0.000 0.000 2.976

Question: Number 5 is which compound?
Answer: TcHgSbI2

Question: Which formula does entry 6 have?
Answer: TcHgSb2I